Record 1
Density functional theory data (PBE) for a relaxed Tm4AgPt2 crystal.

The value obtained for the raw total energy is -116.7 eV for the cell shown. The value obtained for the size of the total moment is 0.0 μB/cell. The formation energy comes out at -0.8686 eV/atom. The value obtained for the energy relative to the lowest polymorph listed for this composition is 0 meV per atom. Its density of states at the Fermi level is 12.6 states/eV/cell.

It has space group R-3m (No. 166, hexagonal axes), with a = 4.8872 Å, b = 4.8872 Å, c = 23.8111 Å, α = 90.00°, β = 90.00° and γ = 120.00°. The inequivalent atoms are Tm at (0.0000, 0.0000, 0.1214), Tm at (0.0000, 0.0000, 0.3721), Ag at (0.0000, 0.0000, 0.5000) and Pt at (0.0000, 0.0000, 0.2512).

=====

Record 2
Density functional theory data (PBE) for a relaxed Th2MgAl2 crystal.

The value obtained for the raw total energy is -50.2 eV for the cell shown. The value obtained for the size of the total moment is 0.0 μB/cell. The formation energy comes out at -0.2403 eV/atom. Its density of states at the Fermi level is 5.9 states/eV/cell.

It has space group Cmmm (No. 65), with a = 4.219 Å, b = 14.429 Å, c = 4.314 Å, α = 90.00°, β = 90.00° and γ = 90.00°. The inequivalent atoms are Th at (0.000, 0.133, 0.000), Mg at (0.000, 0.500, 0.500) and Al at (0.000, 0.301, 0.500).

=====

Record 3
Density functional theory data (PBE) for a relaxed CuOsSeN2 crystal.

The value obtained for the raw total energy is -25.7 eV for the cell shown. The value obtained for the size of the total moment is 3.1 μB/cell. The value obtained for the energy relative to the lowest polymorph listed for this composition is 1333 meV per atom. Its density of states at the Fermi level is 5.5 states/eV/cell.

It has space group P4/mmm (No. 123), with a = 3.619 Å, b = 3.619 Å, c = 5.531 Å, α = 90.00°, β = 90.00° and γ = 90.00°. The inequivalent atoms are Cu at (0.000, 0.000, 0.000), Os at (0.000, 0.000, 0.500), Se at (0.500, 0.500, 0.500) and N at (0.000, 0.500, 0.000).

=====

Record 4
Density functional theory data (PBE) for a relaxed SmThSc2S4 crystal.

The value obtained for the raw total energy is -56.3 eV for the cell shown. The value obtained for the size of the total moment is 0.0 μB/cell. Its density of states at the Fermi level is 3.5 states/eV/cell.

It has space group P2/m (No. 10), with a = 6.630 Å, b = 3.811 Å, c = 6.814 Å, α = 90.00°, β = 108.84° and γ = 90.00°. The inequivalent atoms are Sm at (0.000, 0.000, 0.000), Th at (0.500, 0.500, 0.000), Sc at (0.000, 0.500, 0.500), Sc at (0.500, 0.000, 0.500), S at (0.238, 0.000, 0.720) and S at (0.258, 0.500, 0.278).

=====

Record 5
Density functional theory data (PBE) for a relaxed ZrSi3Pt crystal.

The value obtained for the raw total energy is -28.2 eV for the cell shown. The value obtained for the size of the total moment is 0.0 μB/cell. Its density of states at the Fermi level is 5.8 states/eV/cell.

It has space group Pm-3m (No. 221), with a = 4.697 Å, b = 4.697 Å, c = 4.697 Å, α = 90.00°, β = 90.00° and γ = 90.00°. The inequivalent atoms are Zr at (0.000, 0.000, 0.000), Si at (0.000, 0.500, 0.500) and Pt at (0.500, 0.500, 0.500).

=====

Record 6
Density functional theory data (PBE) for a relaxed Tl4Rh5 crystal.

The value obtained for the raw total energy is -88.5 eV for the cell shown. The value obtained for the size of the total moment is 0.0 μB/cell. The formation energy comes out at 0.2187 eV/atom. Its density of states at the Fermi level is 19.7 states/eV/cell.

It has space group I4/mmm (No. 139), with a = 8.787 Å, b = 8.787 Å, c = 4.283 Å, α = 90.00°, β = 90.00° and γ = 90.00°. The inequivalent atoms are Tl at (0.000, 0.304, 0.000), Rh at (0.000, 0.000, 0.000) and Rh at (0.163, 0.163, 0.500).

=====

Record 7
Density functional theory data (PBE) for a relaxed Cs3HgAs2 crystal.

The value obtained for the raw total energy is -54.6 eV for the cell shown. The value obtained for the size of the total moment is 0.0 μB/cell. The formation energy comes out at -0.2487 eV/atom. Its density of states at the Fermi level is 18.8 states/eV/cell.

It has space group Ibam (No. 72), with a = 8.690 Å, b = 14.971 Å, c = 7.993 Å, α = 90.00°, β = 90.00° and γ = 90.00°. The inequivalent atoms are Cs at (0.000, 0.000, 0.250), Cs at (0.198, 0.323, 0.000), Hg at (0.000, 0.500, 0.250) and As at (0.176, 0.420, 0.500).

=====

Record 8
Density functional theory data (PBE) for a relaxed Zr12Ni6Bi crystal.

The value obtained for the raw total energy is -291.3 eV for the cell shown. The value obtained for the size of the total moment is 0.0 μB/cell. The formation energy comes out at -0.2369 eV/atom. Its density of states at the Fermi level is 55.2 states/eV/cell.

It has space group Im-3 (No. 204), with a = 9.081 Å, b = 9.081 Å, c = 9.081 Å, α = 90.00°, β = 90.00° and γ = 90.00°. The inequivalent atoms are Zr at (0.000, 0.187, 0.295), Ni at (0.000, 0.368, 0.500) and Bi at (0.000, 0.000, 0.000).

=====

Record 9
Density functional theory data (PBE) for a relaxed RbMnSiS4 crystal.

The value obtained for the raw total energy is -74.6 eV for the cell shown. The value obtained for the size of the total moment is 8.0 μB/cell. Its density of states at the Fermi level is 0.7 states/eV/cell.

It has space group P2_1/m (No. 11), with a = 6.109 Å, b = 6.719 Å, c = 8.412 Å, α = 90.00°, β = 95.02° and γ = 90.00°. The inequivalent atoms are Rb at (0.220, 0.250, 0.067), Mn at (0.180, 0.750, 0.455), Si at (0.342, 0.250, 0.644), S at (0.112, 0.013, 0.677), S at (0.362, 0.750, 0.204) and S at (0.461, 0.250, 0.418).

=====

Record 10
Density functional theory data (PBE) for a relaxed CoAgRu2 crystal.

The value obtained for the raw total energy is -53.4 eV for the cell shown. The value obtained for the size of the total moment is 3.7 μB/cell. The formation energy comes out at 0.4467 eV/atom. Its density of states at the Fermi level is 10.1 states/eV/cell.

It has space group Cm (No. 8), with a = 8.923 Å, b = 2.710 Å, c = 4.785 Å, α = 90.00°, β = 99.91° and γ = 90.00°. The inequivalent atoms are Co at (0.000, 0.000, 0.000), Ag at (0.255, 0.500, 0.244), Ru at (0.014, 0.500, 0.552) and Ru at (0.259, 0.000, 0.747).

=====

Record 11
Density functional theory data (PBE) for a relaxed Nd5TmSc crystal.

The value obtained for the raw total energy is -57.4 eV for the cell shown. The value obtained for the size of the total moment is 0.0 μB/cell. The formation energy comes out at 0.8483 eV/atom. Its density of states at the Fermi level is 18.3 states/eV/cell.

It has space group C2/m (No. 12), with a = 11.693 Å, b = 8.823 Å, c = 5.862 Å, α = 90.00°, β = 94.65° and γ = 90.00°. The inequivalent atoms are Nd at (0.000, 0.000, 0.000), Nd at (0.000, 0.311, 0.500), Nd at (0.250, 0.000, 0.565), Tm at (0.000, 0.500, 0.000) and Sc at (0.000, 0.000, 0.500).

=====

Record 12
Density functional theory data (PBE) for a relaxed Pu4PdPt2 crystal.

The value obtained for the raw total energy is -314.3 eV for the cell shown. The value obtained for the size of the total moment is 89.8 μB/cell. The formation energy comes out at -0.5671 eV/atom. The value obtained for the energy relative to the lowest polymorph listed for this composition is 0 meV per atom. Its density of states at the Fermi level is 133.7 states/eV/cell.

It has space group I-42d (No. 122), with a = 8.712 Å, b = 8.712 Å, c = 8.710 Å, α = 90.00°, β = 90.00° and γ = 90.00°. The inequivalent atoms are Pu at (0.072, 0.177, 0.305), Pd at (0.000, 0.000, 0.000) and Pt at (0.128, 0.250, 0.625).